Density functional theory data (GGA-PBE) for a relaxed CoPtRh3 crystal.

The size of the total moment is 5.57 μB per cell. The calculation puts the calculated formation energy at 0.12 eV/atom. The calculation puts the theoretical density at 13.15 g cm⁻³.

Cell lengths 5.3324, 4.8102, 9.3550 Å; angles 46.17, 73.44, 56.34 degrees
With the nearest neighbours (Å) after each atom.
Fractional coordinates of all 10 atoms:
Pt  0.3774  0.6867  0.4762  1 Co 2.46, 1 Pt 2.57, 5 Rh 2.67-2.71
Rh  0.3405  0.4712  0.2707  7 Rh 2.64-2.75, 2 Pt 2.71-2.83, 2 Co 2.72-2.74
Rh  0.8353  0.4712  0.2707  7 Rh 2.64-2.75, 2 Pt 2.71-2.83, 2 Co 2.72-2.74
Co  0.1862  0.8480  0.6972  3 Pt 2.46-2.67, 6 Rh 2.46-2.71
Rh  0.2863  0.2724  0.0727  3 Co 2.50-2.67, 1 Pt 2.69, 8 Rh 2.74-2.75
Rh  0.8920  0.6768  0.4569  2 Co 2.46-2.53, 3 Pt 2.57-2.67, 4 Rh 2.67-2.74
Rh  0.2404  0.0690  0.8731  4 Co 2.64-2.78, 5 Rh 2.64-2.75, 2 Pt 2.67-2.71
Co  0.7923  0.2560  0.0771  11 Rh 2.53-2.78, 1 Pt 2.56
Pt  0.6975  0.8295  0.6932  3 Co 2.56-2.67, 5 Rh 2.57-2.71, 1 Pt 2.57
Rh  0.7352  0.0690  0.8731  4 Co 2.64-2.78, 5 Rh 2.64-2.75, 2 Pt 2.67-2.71

Density functional theory data (GGA-PBE) for a relaxed Co2PtRh4 crystal.

The size of the total moment is 12.13 μB per cell. The calculation puts the calculated formation energy at 0.40 eV/atom. The calculation puts the theoretical density at 11.29 g cm⁻³.

Cell lengths 6.5449, 6.5449, 6.5449 Å; angles 102.01, 113.32, 113.32 degrees
With the nearest neighbours (Å) after each atom.
Fractional coordinates of all 14 atoms:
Rh  0.7976  0.8077  0.3077  3 Co 2.45-2.50, 4 Rh 2.55-2.62
Pt  0.0000  0.7500  0.7500  8 Rh 2.84
Rh  0.5000  0.6923  0.4899  3 Co 2.45-2.50, 4 Rh 2.55-2.62
Co  0.2044  0.8522  0.3522  6 Rh 2.45-2.50
Rh  0.5000  0.9899  0.1923  3 Co 2.45-2.50, 4 Rh 2.55-2.62
Rh  0.7976  0.4899  0.9899  3 Co 2.45-2.50, 4 Rh 2.55-2.62
Rh  0.2024  0.1923  0.6923  3 Co 2.45-2.50, 4 Rh 2.55-2.62
Rh  0.2024  0.5101  0.0101  3 Co 2.45-2.50, 4 Rh 2.55-2.62
Co  0.5000  0.3522  0.1478  6 Rh 2.45-2.50
Co  0.5000  0.6478  0.8522  6 Rh 2.45-2.50
Pt  0.0000  0.2500  0.2500  8 Rh 2.84
Rh  0.5000  0.0101  0.8077  3 Co 2.45-2.50, 4 Rh 2.55-2.62
Co  0.7956  0.1478  0.6478  6 Rh 2.45-2.50
Rh  0.5000  0.3077  0.5101  3 Co 2.45-2.50, 4 Rh 2.55-2.62

Density functional theory data (GGA-PBE) for a relaxed Co2Pt4Rh crystal.

The size of the total moment is 13.47 μB per cell. The calculation puts the calculated formation energy at 0.34 eV/atom. The calculation puts the theoretical density at 14.61 g cm⁻³.

Cell lengths 6.6854, 6.6855, 6.6855 Å; angles 102.69, 112.97, 112.97 degrees
With the nearest neighbours (Å) after each atom.
Fractional coordinates of all 14 atoms:
Co  0.5000  0.3536  0.1464  6 Pt 2.50-2.56
Pt  0.8008  0.4922  0.9922  3 Co 2.50-2.56, 4 Pt 2.58-2.70
Rh  0.0000  0.2500  0.2500  8 Pt 2.91
Co  0.5000  0.6464  0.8536  6 Pt 2.50-2.56
Pt  0.1992  0.1914  0.6914  3 Co 2.50-2.56, 4 Pt 2.58-2.70
Pt  0.8008  0.8086  0.3086  3 Co 2.50-2.56, 4 Pt 2.58-2.70
Pt  0.5000  0.0078  0.8086  3 Co 2.50-2.56, 4 Pt 2.58-2.70
Co  0.2073  0.8537  0.3537  6 Pt 2.50-2.56
Co  0.7927  0.1463  0.6463  6 Pt 2.50-2.56
Rh  0.0000  0.7500  0.7500  8 Pt 2.91
Pt  0.5000  0.3086  0.5078  3 Co 2.50-2.56, 4 Pt 2.58-2.70
Pt  0.5000  0.6914  0.4922  3 Co 2.50-2.56, 4 Pt 2.58-2.70
Pt  0.5000  0.9922  0.1914  3 Co 2.50-2.56, 4 Pt 2.58-2.70
Pt  0.1992  0.5078  0.0078  3 Co 2.50-2.56, 4 Pt 2.58-2.70

Density functional theory data (GGA-PBE) for a relaxed Co4Pt2Rh5 crystal.

The size of the total moment is 10.65 μB per cell. The calculation puts the calculated formation energy at 0.15 eV/atom. The calculation puts the theoretical density at 12.34 g cm⁻³.

Cell lengths 2.6665, 6.3833, 9.0746 Å; angles 83.50, 90.00, 90.00 degrees
With the nearest neighbours (Å) after each atom.
Fractional coordinates of all 11 atoms:
Rh  0.0000  0.1557  0.8798  5 Rh 2.56-2.78, 4 Co 2.59-2.62, 1 Pt 2.63
Rh  0.0000  0.5000  0.0000  4 Co 2.54, 6 Rh 2.56-2.69
Rh  0.0000  0.5254  0.7021  6 Co 2.59-2.86, 4 Rh 2.67-2.70, 1 Pt 2.71
Co  0.5000  0.6975  0.4688  3 Co 2.52-2.67, 4 Rh 2.59-2.63, 4 Pt 2.70-2.74
Co  0.5000  0.8093  0.8753  6 Rh 2.54-2.62, 2 Pt 2.57, 2 Co 2.67
Rh  0.0000  0.4746  0.2979  6 Co 2.59-2.86, 4 Rh 2.67-2.70, 1 Pt 2.71
Co  0.5000  0.3025  0.5312  3 Co 2.52-2.67, 4 Rh 2.59-2.63, 4 Pt 2.70-2.74
Co  0.5000  0.1907  0.1247  6 Rh 2.54-2.62, 2 Pt 2.57, 2 Co 2.67
Rh  0.0000  0.8443  0.1202  5 Rh 2.56-2.78, 4 Co 2.59-2.62, 1 Pt 2.63
Pt  0.0000  0.0485  0.3567  6 Co 2.57-2.74, 3 Pt 2.60-2.67, 2 Rh 2.63-2.71
Pt  0.0000  0.9515  0.6433  6 Co 2.57-2.74, 3 Pt 2.60-2.67, 2 Rh 2.63-2.71

Density functional theory data (GGA-PBE) for a relaxed Co7Pt3Rh crystal.

The size of the total moment is 29.79 μB per cell. The calculation puts the calculated formation energy at 0.14 eV/atom. The calculation puts the theoretical density at 12.09 g cm⁻³.

Cell lengths 2.6289, 9.8334, 11.7974 Å; angles 90.00, 90.00, 97.68 degrees
With the nearest neighbours (Å) after each atom.
Fractional coordinates of all 22 atoms:
Co  0.7212  0.4423  0.5799  5 Pt 2.54-2.62, 5 Co 2.56-2.63
Co  0.4099  0.8198  0.1017  5 Co 2.41-2.63, 2 Rh 2.62, 4 Pt 2.66-2.67
Co  0.4667  0.9335  0.9206  4 Co 2.28-2.45
Co  0.3947  0.7893  0.7500  4 Co 2.45-2.63, 4 Pt 2.63, 2 Rh 2.70
Pt  0.8515  0.7030  0.5703  9 Co 2.54-2.67, 2 Pt 2.63
Pt  0.1679  0.3358  0.7500  8 Co 2.61-2.66, 2 Pt 2.63
Pt  0.1485  0.2970  0.4297  9 Co 2.54-2.67, 2 Pt 2.63
Rh  0.0158  0.0316  0.7500  10 Co 2.59-2.70, 2 Rh 2.63
Co  0.7212  0.4423  0.9201  5 Pt 2.54-2.62, 5 Co 2.56-2.63
Rh  0.9842  0.9684  0.2500  10 Co 2.59-2.70, 2 Rh 2.63
Co  0.5901  0.1802  0.8983  5 Co 2.41-2.63, 2 Rh 2.62, 4 Pt 2.66-2.67
Co  0.5901  0.1802  0.6017  5 Co 2.41-2.63, 2 Rh 2.62, 4 Pt 2.66-2.67
Co  0.5333  0.0665  0.0794  4 Co 2.28-2.45
Pt  0.8321  0.6642  0.2500  8 Co 2.61-2.66, 2 Pt 2.63
Co  0.5333  0.0665  0.4206  4 Co 2.28-2.45
Pt  0.1485  0.2970  0.0703  9 Co 2.54-2.67, 2 Pt 2.63
Co  0.2788  0.5577  0.4201  5 Pt 2.54-2.62, 5 Co 2.56-2.63
Co  0.2788  0.5577  0.0799  5 Pt 2.54-2.62, 5 Co 2.56-2.63
Co  0.4099  0.8198  0.3983  5 Co 2.41-2.63, 2 Rh 2.62, 4 Pt 2.66-2.67
Co  0.6053  0.2107  0.2500  4 Co 2.45-2.63, 4 Pt 2.63, 2 Rh 2.70
Pt  0.8515  0.7030  0.9297  9 Co 2.54-2.67, 2 Pt 2.63
Co  0.4667  0.9335  0.5794  4 Co 2.28-2.45

Density functional theory data (GGA-PBE) for a relaxed CoPt2Rh crystal.

The size of the total moment is 2.84 μB per cell. The calculation puts the calculated formation energy at -0.04 eV/atom. The calculation puts the theoretical density at 16.03 g cm⁻³.

Cell lengths 2.7268, 3.8321, 5.4708 Å; angles 90.00, 90.00, 90.00 degrees
With the nearest neighbours (Å) after each atom.
Fractional coordinates of all 4 atoms:
Co  0.5000  0.5000  0.7500  8 Pt 2.70, 2 Co 2.73, 2 Rh 2.74
Pt  0.0000  0.0000  0.5064  4 Pt 2.67-2.81, 4 Co 2.70, 4 Rh 2.74
Rh  0.5000  0.5000  0.2500  2 Rh 2.73, 2 Co 2.74, 8 Pt 2.74
Pt  0.0000  0.0000  0.9936  4 Pt 2.67-2.81, 4 Co 2.70, 4 Rh 2.74

Density functional theory data (GGA-PBE) for a relaxed CoPtRh crystal.

The size of the total moment is 3.76 μB per cell. The calculation puts the calculated formation energy at 0.29 eV/atom. The calculation puts the theoretical density at 12.48 g cm⁻³.

Cell lengths 4.0645, 4.0645, 4.0645 Å; angles 60.00, 60.00, 60.00 degrees
With the nearest neighbours (Å) after each atom.
Fractional coordinates of all 3 atoms:
Rh  0.5000  0.5000  0.5000  4 Co 2.49
Pt  0.0000  0.0000  0.0000  4 Co 2.49
Co  0.7500  0.7500  0.7500  4 Pt 2.49, 4 Rh 2.49

Density functional theory data (GGA-PBE) for a relaxed Co2Pt4Rh crystal.

The size of the total moment is 9.52 μB per cell. The calculation puts the calculated formation energy at 0.27 eV/atom. The calculation puts the theoretical density at 15.62 g cm⁻³.

Cell lengths 6.5144, 6.5144, 6.5144 Å; angles 109.74, 108.93, 109.74 degrees
With the nearest neighbours (Å) after each atom.
Fractional coordinates of all 14 atoms:
Pt  0.6037  0.7439  0.0272  4 Co 2.54-2.62, 2 Rh 2.66-2.69, 2 Pt 2.70-2.71
Rh  0.7500  0.5000  0.2500  8 Pt 2.66-2.69
Pt  0.6098  0.7561  0.5333  4 Co 2.54-2.62, 2 Rh 2.66-2.69, 2 Pt 2.70-2.71
Rh  0.0000  0.0000  0.0000  8 Pt 2.66-2.69
Pt  0.4667  0.0766  0.2228  4 Co 2.54-2.62, 2 Rh 2.66-2.69, 2 Pt 2.70-2.71
Pt  0.7772  0.2439  0.8537  4 Co 2.54-2.62, 2 Rh 2.66-2.69, 2 Pt 2.70-2.71
Co  0.2362  0.6112  0.1250  8 Pt 2.54-2.62
Pt  0.2833  0.2561  0.8598  4 Co 2.54-2.62, 2 Rh 2.66-2.69, 2 Pt 2.70-2.71
Co  0.3750  0.8888  0.7638  8 Pt 2.54-2.62
Co  0.8750  0.1112  0.4862  8 Pt 2.54-2.62
Pt  0.1463  0.9234  0.3902  4 Co 2.54-2.62, 2 Rh 2.66-2.69, 2 Pt 2.70-2.71
Co  0.5138  0.3888  0.6250  8 Pt 2.54-2.62
Pt  0.9728  0.5766  0.7167  4 Co 2.54-2.62, 2 Rh 2.66-2.69, 2 Pt 2.70-2.71
Pt  0.1402  0.4234  0.3963  4 Co 2.54-2.62, 2 Rh 2.66-2.69, 2 Pt 2.70-2.71

Density functional theory data (GGA-PBE) for a relaxed CoPt2Rh6 crystal.

The size of the total moment is 2.89 μB per cell. The calculation puts the calculated formation energy at 0.00 eV/atom. The calculation puts the theoretical density at 13.84 g cm⁻³.

Cell lengths 3.8371, 4.7079, 8.1792 Å; angles 73.20, 90.00, 114.05 degrees
With the nearest neighbours (Å) after each atom.
Fractional coordinates of all 9 atoms:
Rh  0.6607  0.3214  0.2868  7 Rh 2.63-2.75, 2 Co 2.67, 3 Pt 2.76-2.80
Rh  0.3393  0.6786  0.7132  7 Rh 2.63-2.75, 2 Co 2.67, 3 Pt 2.76-2.80
Rh  0.6677  0.3355  0.6058  8 Rh 2.63-2.73, 3 Co 2.70-2.71, 1 Pt 2.75
Pt  0.3336  0.6672  0.0575  3 Pt 2.71-2.74, 9 Rh 2.74-2.80
Pt  0.6664  0.3328  0.9425  3 Pt 2.71-2.74, 9 Rh 2.74-2.80
Rh  0.0024  0.0049  0.8234  1 Co 2.65, 6 Rh 2.69-2.88, 5 Pt 2.74-2.77
Rh  0.9976  0.9951  0.1766  1 Co 2.65, 6 Rh 2.69-2.88, 5 Pt 2.74-2.77
Co  0.0000  0.0000  0.5000  12 Rh 2.65-2.71
Rh  0.3323  0.6645  0.3942  8 Rh 2.63-2.73, 3 Co 2.70-2.71, 1 Pt 2.75

Density functional theory data (GGA-PBE) for a relaxed CoPtRh6 crystal.

The size of the total moment is 2.69 μB per cell. The calculation puts the calculated formation energy at 0.01 eV/atom. The calculation puts the theoretical density at 12.89 g cm⁻³.

Cell lengths 3.8282, 4.6869, 7.1699 Å; angles 77.44, 74.52, 65.90 degrees
With the nearest neighbours (Å) after each atom.
Fractional coordinates of all 8 atoms:
Pt  0.0000  0.5000  0.5000  12 Rh 2.72-2.75
Rh  0.7469  0.6252  0.8810  8 Rh 2.64-2.73, 3 Co 2.69-2.70, 1 Pt 2.75
Rh  0.5006  0.2435  0.7554  8 Rh 2.64-2.79, 2 Co 2.68, 2 Pt 2.74
Rh  0.2459  0.8755  0.6327  1 Co 2.66, 8 Rh 2.68-2.79, 3 Pt 2.72-2.73
Rh  0.7541  0.1245  0.3673  1 Co 2.66, 8 Rh 2.68-2.79, 3 Pt 2.72-2.73
Co  0.0000  0.0000  0.0000  12 Rh 2.66-2.70
Rh  0.4994  0.7565  0.2446  8 Rh 2.64-2.79, 2 Co 2.68, 2 Pt 2.74
Rh  0.2531  0.3748  0.1190  8 Rh 2.64-2.73, 3 Co 2.69-2.70, 1 Pt 2.75